The following is a DFT calculation (PBE-GGA) of crystalline Mg5Be at its relaxed geometry.

Values from the calculation:
- ρ (g cm⁻³) = 1.8
- polymorph energy (0 for the lowest one) (meV per atom) = 46
- DFT formation energy (eV per atom) = 0.18
- V (Å³/atom) = 20.28
- magnetic moment (μB/cell) = 0.0

```
data_Mg5Be
_chemical_formula_sum 'Mg10 Be2'
_cell_length_a 11.7122
_cell_length_b 3.0589
_cell_length_c 7.0547
_cell_angle_alpha 90.00
_cell_angle_beta 105.65
_cell_angle_gamma 90.00
_symmetry_space_group_name_H-M 'C 1 m 1'
_symmetry_Int_Tables_number 8
_symmetry_space_group_name_Hall 'C -2y'
loop_
_atom_site_label
_atom_site_type_symbol
_atom_site_fract_x
_atom_site_fract_y
_atom_site_fract_z
Mg1 Mg 0.0000 0.0000 0.0000
Mg2 Mg 0.0130 0.0000 0.5922
Mg3 Mg 0.1709 0.5000 0.3784
Mg4 Mg 0.2190 0.5000 0.8805
Mg5 Mg 0.3633 0.0000 0.2489
Be1 Be 0.3344 0.0000 0.6607
```



The following is a DFT calculation (PBE-GGA) of crystalline Ac2Tm12Au7 at its relaxed geometry.

Values from the calculation:
- ρ (g cm⁻³) = 11.2
- DFT formation energy (eV per atom) = -0.62
- V (Å³/atom) = 27.18
- magnetic moment (μB/cell) = 0.0

```
data_Ac2Tm12Au7
_chemical_formula_sum 'Ac2 Tm12 Au7'
_cell_length_a 11.6458
_cell_length_b 11.6458
_cell_length_c 4.8593
_cell_angle_alpha 90.00
_cell_angle_beta 90.00
_cell_angle_gamma 120.00
_symmetry_space_group_name_H-M 'P -6'
_symmetry_Int_Tables_number 174
_symmetry_space_group_name_Hall 'P -6'
loop_
_atom_site_label
_atom_site_type_symbol
_atom_site_fract_x
_atom_site_fract_y
_atom_site_fract_z
Ac1 Ac 0.0000 0.0000 0.0000
Ac2 Ac 0.3333 0.6667 0.5000
Tm1 Tm 0.0508 0.2692 0.5000
Tm2 Tm 0.1095 0.7045 0.0000
Tm3 Tm 0.3880 0.1801 0.0000
Tm4 Tm 0.5500 0.4353 0.5000
Au1 Au 0.0730 0.4426 0.0000
Au2 Au 0.2719 0.2261 0.5000
Au3 Au 0.6667 0.3333 0.0000
```



The following is a DFT calculation (PBE-GGA) of crystalline LiThNO at its relaxed geometry.

Values from the calculation:
- ρ (g cm⁻³) = 8.7
- V (Å³/atom) = 12.83
- ΔE_f (raw) (eV/atom) = -1.85
- magnetic moment (μB/cell) = 0.0

```
data_LiThNO
_chemical_formula_sum 'Li2 Th2 N2 O2'
_cell_length_a 3.6033
_cell_length_b 3.6033
_cell_length_c 7.9065
_cell_angle_alpha 90.00
_cell_angle_beta 90.00
_cell_angle_gamma 90.00
_symmetry_space_group_name_H-M 'P 4/n m m'
_symmetry_Int_Tables_number 129
loop_
_symmetry_equiv_pos_as_xyz
'x,y,z'
'-x,-y,-z'
'-y+1/2,x,z'
'y+1/2,-x,-z'
'-x+1/2,-y+1/2,z'
'x+1/2,y+1/2,-z'
'y,-x+1/2,z'
'-y,x+1/2,-z'
'x+1/2,-y,-z'
'-x+1/2,y,z'
'-y,-x,-z'
'y,x,z'
'-x,y+1/2,-z'
'x,-y+1/2,z'
'y+1/2,x+1/2,-z'
'-y+1/2,-x+1/2,z'
loop_
_atom_site_label
_atom_site_type_symbol
_atom_site_fract_x
_atom_site_fract_y
_atom_site_fract_z
Li1 Li 0.2500 0.7500 0.0000
Th1 Th 0.2500 0.2500 0.3120
N1 N 0.2500 0.2500 0.8349
O1 O 0.2500 0.7500 0.5000
```



The following is a DFT calculation (PBE-GGA) of crystalline La5Hg2C at its relaxed geometry.

Values from the calculation:
- ρ (g cm⁻³) = 7.8
- DFT formation energy (eV per atom) = -0.26
- V (Å³/atom) = 29.62
- magnetic moment (μB/cell) = 0.0

```
data_La5Hg2C
_chemical_formula_sum 'La20 Hg8 C4'
_cell_length_a 16.6706
_cell_length_b 6.6349
_cell_length_c 10.2362
_cell_angle_alpha 90.00
_cell_angle_beta 123.17
_cell_angle_gamma 90.00
_symmetry_space_group_name_H-M 'C 1 2/c 1'
_symmetry_Int_Tables_number 15
_symmetry_space_group_name_Hall '-C 2yc'
loop_
_atom_site_label
_atom_site_type_symbol
_atom_site_fract_x
_atom_site_fract_y
_atom_site_fract_z
La1 La 0.0000 0.1463 0.2500
La2 La 0.0686 0.3199 0.6665
La3 La 0.1702 0.1129 0.1042
Hg1 Hg 0.1929 0.4178 0.5134
C1 C 0.0000 0.0000 0.0000
```